(1)
First-principles (GGA-PBEsol) data for an optimized crystal structure of Ba3ReC, as listed in Alexandria.

Summary:
Crystal system   cubic
Energy of formation   1.43 eV per atom
D(E_F)   9.21 states/eV/cell

Cell: 5.4443 5.4443 5.4443 Å, 90.00 90.00 90.00°
With the nearest neighbours (Å) after each atom.
Fractional positions:
Ba1 0.0000 0.0000 0.5000  2 C 2.72
Ba2 0.0000 0.5000 0.0000  2 C 2.72
Ba3 0.5000 0.0000 0.0000  2 C 2.72
Re1 0.5000 0.5000 0.5000  12 Ba 3.85
C1 0.0000 0.0000 0.0000  6 Ba 2.72

(2)
First-principles (GGA-PBEsol) data for an optimized crystal structure of BaSnRu2C, as listed in Alexandria.

Summary:
Crystal system   tetragonal
Energy of formation   2.46 eV per atom
D(E_F)   6.24 states/eV/cell

Cell: 4.8261 4.8261 6.4763 Å, 90.00 90.00 90.00°
With the nearest neighbours (Å) after each atom.
Fractional positions:
Ba1 0.0000 0.0000 0.0000  2 Sn 3.24, 4 C 3.41
Sn1 0.0000 0.0000 0.5000  4 Ru 2.41
Ru1 0.0000 0.5000 0.5000  2 Sn 2.41
Ru2 0.5000 0.0000 0.5000  2 Sn 2.41
C1 0.5000 0.5000 0.0000  4 Ba 3.41

(3)
First-principles (GGA-PBEsol) data for an optimized crystal structure of Ba2TaRuC, as listed in Alexandria.

Summary:
Crystal system   tetragonal
Energy of formation   1.44 eV per atom
D(E_F)   6.04 states/eV/cell

Cell: 6.0211 6.0211 3.8177 Å, 90.00 90.00 90.00°
With the nearest neighbours (Å) after each atom.
Fractional positions:
Ba1 0.0000 0.5000 0.0000  2 Ru 3.01
Ba2 0.5000 0.0000 0.0000  2 Ru 3.01
Ta1 0.0000 0.0000 0.5000  8 Ba 3.56, 2 Ta 3.82
Ru1 0.5000 0.5000 0.0000  2 C 1.91
C1 0.5000 0.5000 0.5000  2 Ru 1.91

(4)
First-principles (GGA-PBEsol) data for an optimized crystal structure of Ba2YCS, as listed in Alexandria.

Summary:
Crystal system   tetragonal
E   -22.107 eV/cell
D(E_F)   5.84 states/eV/cell

Cell: 6.2085 6.2085 3.7958 Å, 90.00 90.00 90.00°
With the nearest neighbours (Å) after each atom.
Fractional positions:
Ba1 0.0000 0.5000 0.0000  2 S 3.10
Ba2 0.5000 0.0000 0.0000  2 S 3.10
Y1 0.0000 0.0000 0.5000  8 Ba 3.64, 2 Y 3.80
C1 0.5000 0.5000 0.5000  2 S 1.90
S1 0.5000 0.5000 0.0000  2 C 1.90

(5)
First-principles (GGA-PBEsol) data for an optimized crystal structure of BaSc3C, as listed in Alexandria.

Summary:
Crystal system   cubic
Energy of formation   2.49 eV per atom
D(E_F)   5.26 states/eV/cell

Cell: 5.1396 5.1396 5.1396 Å, 90.00 90.00 90.00°
With the nearest neighbours (Å) after each atom.
Fractional positions:
Ba1 0.0000 0.0000 0.0000  6 Sc 2.57
Sc1 0.0000 0.0000 0.5000  2 Ba 2.57
Sc2 0.0000 0.5000 0.0000  2 Ba 2.57
Sc3 0.5000 0.0000 0.0000  2 Ba 2.57
C1 0.5000 0.5000 0.5000  12 Sc 3.63

(6)
First-principles (GGA-PBEsol) data for an optimized crystal structure of Ba2CSe, as listed in Alexandria.

Summary:
Crystal system   tetragonal
E   -36.339 eV/cell
D(E_F)   3.11 states/eV/cell

Cell: 6.9712 6.9712 6.9712 Å, 111.96 111.96 104.60°
With the nearest neighbours (Å) after each atom.
Fractional positions:
Ba1 0.0838 0.1250 0.4588  2 C 2.76
Ba2 0.3750 0.9162 0.0412  2 C 2.76
Ba3 0.6662 0.6250 0.5412  2 C 2.76
Ba4 0.8750 0.3338 0.9588  2 C 2.76
C1 0.0000 0.0000 0.0000  4 Ba 2.76
C2 0.7500 0.2500 0.5000  4 Ba 2.76
Se1 0.2500 0.7500 0.5000  4 Ba 3.18
Se2 0.5000 0.5000 0.0000  4 Ba 3.18

(7)
First-principles (GGA-PBEsol) data for an optimized crystal structure of Ba2SiC, as listed in Alexandria.

Summary:
Crystal system   tetragonal
E   -32.178 eV/cell
D(E_F)   8.20 states/eV/cell

Cell: 6.7157 6.7157 6.7157 Å, 102.66 102.66 124.16°
With the nearest neighbours (Å) after each atom.
Fractional positions:
Ba1 0.0478 0.6250 0.9228  2 C 2.67
Ba2 0.3750 0.2978 0.4228  2 C 2.67
Ba3 0.7022 0.1250 0.0772  2 C 2.67
Ba4 0.8750 0.9522 0.5772  2 C 2.67
Si1 0.2500 0.7500 0.5000  2 C 3.14, 4 Ba 3.47
Si2 0.5000 0.5000 0.0000  2 C 3.14, 4 Ba 3.47
C1 0.0000 0.0000 0.0000  4 Ba 2.67
C2 0.7500 0.2500 0.5000  4 Ba 2.67

(8)
First-principles (GGA-PBEsol) data for an optimized crystal structure of Ba3SiC, as listed in Alexandria.

Summary:
Crystal system   cubic
E   -15.960 eV/cell
D(E_F)   5.04 states/eV/cell

Cell: 6.2301 6.2301 6.2301 Å, 90.00 90.00 90.00°
With the nearest neighbours (Å) after each atom.
Fractional positions:
Ba1 0.0000 0.0000 0.5000  2 Si 3.12
Ba2 0.0000 0.5000 0.0000  2 Si 3.12
Ba3 0.5000 0.0000 0.0000  2 Si 3.12
Si1 0.0000 0.0000 0.0000  6 Ba 3.12
C1 0.5000 0.5000 0.5000  12 Ba 4.41

(9)
First-principles (GGA-PBEsol) data for an optimized crystal structure of BaSiSnC2, as listed in Alexandria.

Summary:
Crystal system   tetragonal
E   -23.148 eV/cell
D(E_F)   2.82 states/eV/cell

Cell: 4.4879 4.4879 5.1491 Å, 90.00 90.00 90.00°
With the nearest neighbours (Å) after each atom.
Fractional positions:
Ba1 0.0000 0.0000 0.0000  4 Si 3.17, 8 C 3.42
Si1 0.5000 0.5000 0.0000  2 Sn 2.57
Sn1 0.5000 0.5000 0.5000  4 C 2.24
C1 0.0000 0.5000 0.5000  2 Sn 2.24
C2 0.5000 0.0000 0.5000  2 Sn 2.24

(10)
First-principles (GGA-PBEsol) data for an optimized crystal structure of BaSn3C, as listed in Alexandria.

Summary:
Crystal system   cubic
Energy of formation   0.48 eV per atom
D(E_F)   1.83 states/eV/cell

Cell: 4.9767 4.9767 4.9767 Å, 90.00 90.00 90.00°
With the nearest neighbours (Å) after each atom.
Fractional positions:
Ba1 0.0000 0.0000 0.0000  12 Sn 3.52
Sn1 0.0000 0.5000 0.5000  2 C 2.49
Sn2 0.5000 0.0000 0.5000  2 C 2.49
Sn3 0.5000 0.5000 0.0000  2 C 2.49
C1 0.5000 0.5000 0.5000  6 Sn 2.49

(11)
First-principles (GGA-PBEsol) data for an optimized crystal structure of Ba2TlSnC, as listed in Alexandria.

Summary:
Crystal system   tetragonal
Energy of formation   1.19 eV per atom
D(E_F)   4.35 states/eV/cell

Cell: 6.6057 6.6057 5.4010 Å, 90.00 90.00 90.00°
With the nearest neighbours (Å) after each atom.
Fractional positions:
Ba1 0.0000 0.5000 0.0000  2 Sn 3.30
Ba2 0.5000 0.0000 0.0000  2 Sn 3.30
Tl1 0.0000 0.0000 0.5000  2 Sn 2.70
Sn1 0.0000 0.0000 0.0000  2 Tl 2.70
C1 0.5000 0.5000 0.5000  8 Ba 4.27, 4 Tl 4.67

(12)
First-principles (GGA-PBEsol) data for an optimized crystal structure of BaZn2TeC, as listed in Alexandria.

Summary:
Crystal system   tetragonal
E   -10.066 eV/cell
D(E_F)   5.06 states/eV/cell

Cell: 5.9067 5.9067 4.6817 Å, 90.00 90.00 90.00°
With the nearest neighbours (Å) after each atom.
Fractional positions:
Ba1 0.0000 0.0000 0.0000  2 C 2.34
Zn1 0.0000 0.5000 0.0000  2 Ba 2.95
Zn2 0.5000 0.0000 0.0000  2 Ba 2.95
Te1 0.5000 0.5000 0.5000  8 Zn 3.77, 4 C 4.18
C1 0.0000 0.0000 0.5000  2 Ba 2.34

(13)
First-principles (GGA-PBEsol) data for an optimized crystal structure of BaTi2C, as listed in Alexandria.

Summary:
Crystal system   cubic
Energy of formation   0.30 eV per atom
D(E_F)   8.65 states/eV/cell

Cell: 6.4582 6.4582 6.4582 Å, 60.00 60.00 60.00°
With the nearest neighbours (Å) after each atom.
Fractional positions:
Ba1 0.1250 0.1250 0.1250  12 Ti 3.79, 4 C 3.95, 4 Ba 3.95
Ba2 0.8750 0.8750 0.8750  12 Ti 3.79, 4 Ba 3.95, 4 C 3.95
Ti1 0.0000 0.5000 0.5000  2 C 1.98
Ti2 0.5000 0.0000 0.5000  2 C 1.98
Ti3 0.5000 0.5000 0.0000  2 C 1.98
Ti4 0.5000 0.5000 0.5000  2 C 1.98
C1 0.3750 0.3750 0.3750  4 Ti 1.98
C2 0.6250 0.6250 0.6250  4 Ti 1.98